VASP calculation (GGA-PBE) on a relaxed structure of AlCd2Mo.

Cell lengths 7.5750, 7.5750, 5.4604 Å; angles 90.00, 90.00, 90.00 degrees
Closest atoms and distances in Å follow each position.
Space group I-42d (No. 122)
Symmetry-distinct sites (fractional):
1 Al 0.0000 0.0000 0.0000  4 Cd 2.68, 2 Mo 2.73
2 Cd 0.2344 0.2500 0.1250  2 Al 2.68, 2 Cd 2.74, 2 Mo 2.85
3 Mo 0.0000 0.0000 0.5000  2 Al 2.73, 4 Cd 2.85

Properties
E_form	0.619	eV/atom
total magnetic moment	2.92	μB per cell
VASP energy	-3.48	eV per atom